Below is a geometry-optimized PmTm14Zr structure, with properties calculated at the GGA-PBE level.

Properties
ρ   9.113 g/cm3
Energy relative to the elements   0.04 eV per atom
V   29.62 Å³/atom

```
data_PmTm14Zr
_symmetry_space_group_name_H-M 'P 4/m m m'
_symmetry_Int_Tables_number 123
_symmetry_space_group_name_Hall '-P 4 2'
_cell_length_a 6.961
_cell_length_b 6.961
_cell_length_c 9.782
_cell_angle_alpha 90.00
_cell_angle_beta 90.00
_cell_angle_gamma 90.00
loop_
_atom_site_label
_atom_site_fract_x
_atom_site_fract_y
_atom_site_fract_z
Pm1 0.000 0.000 0.000
Tm1 0.000 0.000 0.500
Tm2 0.000 0.500 0.000
Tm3 0.000 0.500 0.500
Tm4 0.255 0.255 0.246
Tm5 0.500 0.500 0.500
Zr1 0.500 0.500 0.000
```